A plane-wave DFT calculation with PBE was carried out for a relaxed structure of Rb2Tl6AgPt.

Unit cell a=13.775 b=13.775 c=13.775 alpha=32.38 beta=32.38 gamma=32.38
Sites, in units of the cell vectors:
Rb (0.109, 0.109, 0.109)
Rb (0.280, 0.280, 0.280)
Rb (0.720, 0.720, 0.720)
Rb (0.891, 0.891, 0.891)
Tl (0.088, 0.658, 0.658)
Tl (0.220, 0.220, 0.660)
Tl (0.220, 0.660, 0.220)
Tl (0.340, 0.780, 0.780)
Tl (0.342, 0.342, 0.912)
Tl (0.342, 0.912, 0.342)
Tl (0.658, 0.088, 0.658)
Tl (0.658, 0.658, 0.088)
Tl (0.660, 0.220, 0.220)
Tl (0.780, 0.340, 0.780)
Tl (0.780, 0.780, 0.340)
Tl (0.912, 0.342, 0.342)
Ag (0.425, 0.425, 0.425)
Ag (0.575, 0.575, 0.575)
Pt (0.000, 0.000, 0.000)
Pt (0.500, 0.500, 0.500)

Calculated values
Crystal system: trigonal
Total moment, μB/cell: 0.00
Final energy, eV/atom: -2.5188
N(E_F), states/eV per cell: 15.733
Formation energy from the elements, kJ per mole of atoms: -2